Entry 1:
AcLuGe2, optimized geometry, DFT PBE; SG = P4/mmm
1.0
3.840 0.000 0.000
0.000 3.840 0.000
0.000 0.000 6.794
Ac Lu Ge
1 1 2
direct
0.000 0.000 0.000
0.000 0.000 0.500
0.500 0.500 0.303
0.500 0.500 0.697

=====

Entry 2:
AcLuGePd, optimized geometry, DFT PBE; SG = F-43m
1.0
7.374 0.000 0.000
0.000 7.374 0.000
0.000 0.000 7.374
Ac Lu Ge Pd
4 4 4 4
direct
0.000 0.000 0.000
0.000 0.500 0.500
0.500 0.000 0.500
0.500 0.500 0.000
0.000 0.000 0.500
0.000 0.500 0.000
0.500 0.000 0.000
0.500 0.500 0.500
0.250 0.250 0.250
0.250 0.750 0.750
0.750 0.250 0.750
0.750 0.750 0.250
0.250 0.250 0.750
0.250 0.750 0.250
0.750 0.250 0.250
0.750 0.750 0.750

=====

Entry 3:
AcLuSnGe, optimized geometry, DFT PBE; SG = F-43m
1.0
7.666 0.000 0.000
0.000 7.666 0.000
0.000 0.000 7.666
Ac Lu Sn Ge
4 4 4 4
direct
0.000 0.000 0.000
0.000 0.500 0.500
0.500 0.000 0.500
0.500 0.500 0.000
0.000 0.000 0.500
0.000 0.500 0.000
0.500 0.000 0.000
0.500 0.500 0.500
0.250 0.250 0.250
0.250 0.750 0.750
0.750 0.250 0.750
0.750 0.750 0.250
0.250 0.250 0.750
0.250 0.750 0.250
0.750 0.250 0.250
0.750 0.750 0.750

=====

no.,E_tot (Ha/atom),D(E_F) (states/eV per cell),energy relative to the elements (meV/atom)
1,-0.186,2.910,-607
2,-0.194,7.037,-663
3,-0.175,18.379,-455